(1)
DFT (PBE) results for an optimized crystal structure of Ba2ZrBi3O12.

a b c (Å): 7.7882 7.7882 7.7882
angles (deg): 59.88 59.88 59.88
Site moments in Bohr magnetons follow the coordinates.
Fractional positions:
Bi: 0.0000 0.5000 0.0000  -0.01
Bi: 0.0000 0.0000 0.5000  -0.01
O: 0.9250 0.3234 0.9250  0.13
O: 0.9445 0.3315 0.3315  0.04
Zr: 0.0000 0.0000 0.0000  -0.03
O: 0.3315 0.3315 0.9445  0.04
O: 0.3315 0.9445 0.3315  0.04
O: 0.6766 0.0750 0.0750  0.13
Ba: 0.3208 0.3208 0.3208  0.00
O: 0.9250 0.9250 0.3234  0.13
O: 0.0555 0.6685 0.6685  0.04
Ba: 0.6792 0.6792 0.6792  0.00
O: 0.6685 0.0555 0.6685  0.04
O: 0.0750 0.0750 0.6766  0.13
O: 0.6685 0.6685 0.0555  0.04
O: 0.3234 0.9250 0.9250  0.13
O: 0.0750 0.6766 0.0750  0.13
Bi: 0.5000 0.0000 0.0000  -0.01

Values from the calculation:
As for the magnetization: 1.14 μB per cell. The value obtained for the uncorrected formation energy is -28.48 eV/f.u. As for the calculated volume: 333.13 Å³/cell.


(2)
DFT (PBE) results for an optimized crystal structure of BaBi2Os2.

a b c (Å): 4.9687 4.9687 6.2933
angles (deg): 66.75 66.75 90.00
Fractional positions:
Bi: 0.7500 0.2500 0.5000
Os: 0.3877 0.3877 0.2247
Ba: 0.0000 0.0000 0.0000
Os: 0.6123 0.6123 0.7753
Bi: 0.2500 0.7500 0.5000

Values from the calculation:
As for the magnetization: 0.00 μB per cell. As for the calculated volume: 128.90 Å³/cell. The calculation puts the energy at -30.8 eV per formula unit.


(3)
DFT (PBE) results for an optimized crystal structure of BaBi2Os.

a b c (Å): 5.3247 5.3247 5.3247
angles (deg): 60.00 60.00 60.00
Fractional positions:
Bi: 0.2500 0.2500 0.2500
Bi: 0.7500 0.7500 0.7500
Os: 0.5000 0.5000 0.5000
Ba: 0.0000 0.0000 0.0000

Values from the calculation:
As for the magnetization: 0.00 μB per cell. As for the calculated volume: 106.75 Å³/cell. The calculation puts the energy at -19.0 eV per formula unit.


(4)
DFT (PBE) results for an optimized crystal structure of BaBi2Os.

a b c (Å): 8.5983 8.5983 7.0128
angles (deg): 52.19 52.19 90.00
Fractional positions:
Bi: 0.8750 0.9620 0.7500
Os: 0.0000 0.0000 0.0000
Bi: 0.7120 0.1250 0.2500
Bi: 0.0380 0.6250 0.2500
Ba: 0.2500 0.7500 0.5000
Ba: 0.5000 0.5000 0.0000
Bi: 0.3750 0.2880 0.7500
Os: 0.7500 0.2500 0.5000

Values from the calculation:
As for the magnetization: 0.00 μB per cell. As for the calculated volume: 258.38 Å³/cell. The calculation puts the energy at -20.3 eV per formula unit.


(5)
DFT (PBE) results for an optimized crystal structure of BaBi2Os2.

a b c (Å): 8.3853 8.3853 3.3901
angles (deg): 90.00 90.00 90.00
Fractional positions:
Os: 0.1252 0.3748 0.0000
Os: 0.8748 0.6252 0.0000
Ba: 0.0000 0.0000 0.0000
Os: 0.3748 0.8748 0.0000
Bi: 0.1543 0.6543 0.5000
Bi: 0.3457 0.1543 0.5000
Ba: 0.5000 0.5000 0.0000
Bi: 0.6543 0.8457 0.5000
Bi: 0.8457 0.3457 0.5000
Os: 0.6252 0.1252 0.0000

Values from the calculation:
As for the magnetization: 0.00 μB per cell. As for the calculated volume: 238.37 Å³/cell. The calculation puts the energy at -28.5 eV per formula unit.


(6)
DFT (PBE) results for an optimized crystal structure of BaBiOsPt2.

a b c (Å): 5.2208 5.1907 5.2208
angles (deg): 90.00 90.00 90.00
Site moments in Bohr magnetons follow the coordinates.
Fractional positions:
Bi: 0.0000 0.0000 0.0000  -0.03
Ba: 0.5000 0.5000 0.5000  -0.01
Pt: 0.5000 0.0000 0.0000  0.13
Os: 0.0000 0.5000 0.0000  1.59
Pt: 0.0000 0.0000 0.5000  0.09

Values from the calculation:
As for the magnetization: 1.93 μB per cell. As for the calculated volume: 141.48 Å³/cell. The calculation puts the energy at -25.2 eV per formula unit.


(7)
DFT (PBE) results for an optimized crystal structure of Ba2SiBiOs.

a b c (Å): 6.0254 5.1549 6.0254
angles (deg): 90.00 90.00 90.00
Site moments in Bohr magnetons follow the coordinates.
Fractional positions:
Ba: 0.5000 0.0000 0.0000  0.03
Os: 0.0000 0.0000 0.0000  0.24
Si: 0.5000 0.5000 0.5000  0.27
Ba: 0.0000 0.0000 0.5000  0.02
Bi: 0.0000 0.5000 0.0000  -0.05

Values from the calculation:
As for the magnetization: 1.33 μB per cell. The value obtained for the uncorrected formation energy is 2.30 eV/f.u. As for the calculated volume: 187.15 Å³/cell.


(8)
DFT (PBE) results for an optimized crystal structure of BaZn2BiOs.

a b c (Å): 5.3153 6.9306 5.3153
angles (deg): 90.00 90.00 90.00
Site moments in Bohr magnetons follow the coordinates.
Fractional positions:
Os: 0.5000 0.5000 0.5000  2.41
Bi: 0.0000 0.0000 0.0000  0.01
Zn: 0.5000 0.0000 0.0000  -0.02
Ba: 0.0000 0.5000 0.0000  -0.06
Zn: 0.0000 0.0000 0.5000  0.00

Values from the calculation:
As for the magnetization: 2.42 μB per cell. As for the calculated volume: 195.80 Å³/cell. The calculation puts the energy at -13.0 eV per formula unit.


(9)
DFT (PBE) results for an optimized crystal structure of Ba6BiP3.

a b c (Å): 4.8965 13.5432 13.1441
angles (deg): 107.74 90.00 90.00
Fractional positions:
Ba: 0.2500 0.7284 0.2830
P: 0.7500 0.8317 0.4557
Ba: 0.2500 0.2416 0.2016
P: 0.7500 0.0888 0.1634
Ba: 0.7500 0.7584 0.7984
P: 0.2500 0.4945 0.3173
Bi: 0.7500 0.7015 0.0615
Ba: 0.7500 0.2716 0.7170
Ba: 0.2500 0.5440 0.8767
Ba: 0.7500 0.0559 0.3959
P: 0.7500 0.5055 0.6827
Ba: 0.7500 0.4560 0.1233
Ba: 0.2500 0.9441 0.6041
Ba: 0.7500 0.0867 0.9219
Ba: 0.2500 0.3978 0.5322
P: 0.2500 0.1683 0.5443
P: 0.2500 0.9112 0.8366
Bi: 0.2500 0.2985 0.9385
Ba: 0.2500 0.9133 0.0781
Ba: 0.7500 0.6022 0.4678

Values from the calculation:
As for the magnetization: 0.00 μB per cell. As for the calculated volume: 830.21 Å³/cell. The calculation puts the energy at -41.4 eV per formula unit.


(10)
DFT (PBE) results for an optimized crystal structure of Ba12Bi5P2.

a b c (Å): 9.1894 10.7382 11.3351
angles (deg): 104.77 90.00 115.33
Fractional positions:
Ba: 0.0166 0.0331 0.8179
Ba: 0.9834 0.9669 0.1821
Ba: 0.8946 0.2959 0.5704
Ba: 0.4403 0.3416 0.0893
Ba: 0.5597 0.6584 0.9107
Ba: 0.4013 0.2959 0.5704
Ba: 0.5987 0.7041 0.4296
Bi: 0.6968 0.3935 0.3573
Ba: 0.9013 0.3416 0.0893
Ba: 0.4985 0.9970 0.8001
Ba: 0.5015 0.0030 0.1999
Bi: 0.3032 0.6065 0.6427
Bi: 0.3122 0.6244 0.1672
P: 0.2484 0.0000 0.0000
P: 0.7516 0.0000 0.0000
Ba: 0.1054 0.7041 0.4296
Ba: 0.0987 0.6584 0.9107
Bi: 0.6878 0.3756 0.8328
Bi: 0.0000 0.0000 0.5000

Values from the calculation:
As for the magnetization: 2.38 μB per cell. As for the calculated volume: 969.89 Å³/cell. The calculation puts the energy at -69.2 eV per formula unit.


(11)
DFT (PBE) results for an optimized crystal structure of BaBiP.

a b c (Å): 4.8880 4.8595 4.8595
angles (deg): 120.00 90.00 90.00
Fractional positions:
Bi: 0.2025 0.6667 0.3333
P: 0.1078 0.0000 0.0000
Ba: 0.6898 0.3333 0.6667

Values from the calculation:
As for the magnetization: 0.00 μB per cell. The value obtained for the energy above the most stable polymorph in this dataset is 0.1354 eV per atom. As for the calculated volume: 99.97 Å³/cell.


(12)
DFT (PBE) results for an optimized crystal structure of BaBi2P2.

a b c (Å): 5.4717 5.4717 6.4675
angles (deg): 64.97 64.97 90.00
Fractional positions:
Ba: 0.0000 0.0000 0.0000
Bi: 0.3369 0.3369 0.3262
P: 0.7500 0.2500 0.5000
Bi: 0.6631 0.6631 0.6738
P: 0.2500 0.7500 0.5000

Values from the calculation:
As for the magnetization: 0.00 μB per cell. The value obtained for the energy above the most stable polymorph in this dataset is 0.0847 eV per atom. As for the calculated volume: 155.16 Å³/cell.


(13)
DFT (PBE) results for an optimized crystal structure of BaBiP.

a b c (Å): 4.2587 4.6178 10.2735
angles (deg): 102.99 90.00 90.00
Fractional positions:
Ba: 0.2500 0.0934 0.1868
P: 0.7500 0.5270 0.0541
Ba: 0.7500 0.9066 0.8132
Bi: 0.2500 0.7381 0.4763
P: 0.2500 0.4730 0.9459
Bi: 0.7500 0.2619 0.5237

Values from the calculation:
As for the magnetization: 0.00 μB per cell. The value obtained for the energy above the most stable polymorph in this dataset is 0.0000 eV per atom. As for the calculated volume: 196.87 Å³/cell.


(14)
DFT (PBE) results for an optimized crystal structure of Ba6Bi2P.

a b c (Å): 7.9267 9.5917 11.4249
angles (deg): 90.00 88.74 90.00
Site moments in Bohr magnetons follow the coordinates.
Fractional positions:
Ba: 0.3512 0.7998 0.9424  0.09
Ba: 0.6240 0.4624 0.7431  0.10
Bi: 0.4441 0.1131 0.7564  0.01
Ba: 0.1714 0.3370 0.9368  0.07
P: 0.5000 0.5000 0.0000  0.00
Bi: 0.9441 0.3869 0.2564  0.01
Bi: 0.0559 0.6131 0.7436  0.01
P: 0.0000 0.0000 0.5000  0.00
Ba: 0.8286 0.6630 0.0632  0.07
Ba: 0.3760 0.5376 0.2569  0.10
Ba: 0.1240 0.0376 0.2431  0.10
Ba: 0.8512 0.7002 0.4424  0.09
Ba: 0.6488 0.2002 0.0576  0.09
Bi: 0.5559 0.8869 0.2436  0.01
Ba: 0.8760 0.9624 0.7569  0.10
Ba: 0.1488 0.2998 0.5576  0.09
Ba: 0.6714 0.1630 0.4368  0.07
Ba: 0.3286 0.8370 0.5632  0.07

Values from the calculation:
As for the magnetization: 5.03 μB per cell. As for the calculated volume: 868.43 Å³/cell. The calculation puts the energy at -31.7 eV per formula unit.


(15)
DFT (PBE) results for an optimized crystal structure of Ba5Bi2P.

a b c (Å): 8.1239 9.3212 10.4642
angles (deg): 94.38 112.84 90.00
Site moments in Bohr magnetons follow the coordinates.
Fractional positions:
Bi: 0.6861 0.9328 0.7971  -0.01
Ba: 0.2895 0.8057 0.4403  0.02
Bi: 0.1110 0.4328 0.7971  -0.01
Ba: 0.8492 0.6943 0.5597  0.02
Ba: 0.7105 0.1943 0.5597  0.02
P: 0.5000 0.5000 0.5000  -0.01
Bi: 0.3139 0.0672 0.2029  -0.01
Ba: 0.1508 0.3057 0.4403  0.02
Ba: 0.4653 0.4258 0.1891  0.05
P: 0.0000 0.0000 0.5000  -0.01
Bi: 0.8890 0.5672 0.2029  -0.01
Ba: 0.0793 0.7500 0.0000  0.07
Ba: 0.7239 0.9258 0.1891  0.05
Ba: 0.9207 0.2500 0.0000  0.07
Ba: 0.5347 0.5742 0.8109  0.05
Ba: 0.2761 0.0742 0.8109  0.05

Values from the calculation:
As for the magnetization: 1.87 μB per cell. As for the calculated volume: 727.75 Å³/cell. The calculation puts the energy at -29.9 eV per formula unit.


(16)
DFT (PBE) results for an optimized crystal structure of Ba2BiP2.

a b c (Å): 8.3015 8.3015 4.4773
angles (deg): 90.00 90.00 90.00
Fractional positions:
Ba: 0.6460 0.8540 0.5000
Ba: 0.3540 0.1460 0.5000
P: 0.8352 0.6648 0.0000
Bi: 0.0000 0.0000 0.0000
Bi: 0.5000 0.5000 0.0000
P: 0.1648 0.3352 0.0000
P: 0.6648 0.1648 0.0000
Ba: 0.1460 0.6460 0.5000
Ba: 0.8540 0.3540 0.5000
P: 0.3352 0.8352 0.0000

Values from the calculation:
As for the magnetization: 0.00 μB per cell. The value obtained for the energy above the most stable polymorph in this dataset is 0.0000 eV per atom. As for the calculated volume: 308.55 Å³/cell.


(17)
DFT (PBE) results for an optimized crystal structure of BaBi2P2.

a b c (Å): 8.9468 8.9468 3.9353
angles (deg): 90.00 90.00 90.00
Fractional positions:
Ba: 0.5000 0.5000 0.0000
Bi: 0.1593 0.6593 0.5000
Ba: 0.0000 0.0000 0.0000
P: 0.6959 0.1959 0.0000
Bi: 0.3407 0.1593 0.5000
Bi: 0.6593 0.8407 0.5000
P: 0.3041 0.8041 0.0000
Bi: 0.8407 0.3407 0.5000
P: 0.1959 0.3041 0.0000
P: 0.8041 0.6959 0.0000

Values from the calculation:
As for the magnetization: 0.00 μB per cell. The value obtained for the energy above the most stable polymorph in this dataset is 0.1502 eV per atom. As for the calculated volume: 315.00 Å³/cell.


(18)
DFT (PBE) results for an optimized crystal structure of Ba2BiP2.

a b c (Å): 6.3823 6.3823 6.1038
angles (deg): 58.48 58.48 90.00
Site moments in Bohr magnetons follow the coordinates.
Fractional positions:
Ba: 0.7500 0.2500 0.5000  0.05
Ba: 0.2500 0.7500 0.5000  0.05
P: 0.6351 0.6351 0.7297  0.19
P: 0.3649 0.3649 0.2703  0.19
Bi: 0.0000 0.0000 0.0000  0.09

Values from the calculation:
As for the magnetization: 1.24 μB per cell. The value obtained for the energy above the most stable polymorph in this dataset is 0.1416 eV per atom. As for the calculated volume: 167.40 Å³/cell.


(19)
DFT (PBE) results for an optimized crystal structure of Ba4BiP2.

a b c (Å): 8.8075 8.8092 8.8223
angles (deg): 109.16 109.16 110.03
Fractional positions:
Ba: 0.2561 0.9993 0.3946
P: 0.3747 0.5070 0.6317
Ba: 0.7492 0.5062 0.8943
Ba: 0.6116 0.8546 0.1055
P: 0.8751 0.7428 0.3680
Bi: 0.7501 0.2500 0.5000
P: 0.4931 0.1254 0.8683
Ba: 0.1388 0.7435 0.7429
Ba: 0.4935 0.3888 0.2434
Ba: 0.1459 0.2506 0.7571
Bi: 0.0001 0.9999 0.0000
P: 0.2571 0.6248 0.1320
Ba: 0.6048 0.8618 0.6056
Ba: 0.0000 0.3954 0.2566

Values from the calculation:
As for the magnetization: 0.00 μB per cell. As for the calculated volume: 527.26 Å³/cell. The calculation puts the energy at -28.7 eV per formula unit.


(20)
DFT (PBE) results for an optimized crystal structure of BaBi2P2.

a b c (Å): 4.6465 4.6465 7.5112
angles (deg): 71.98 71.98 90.00
Fractional positions:
P: 0.5786 0.5786 0.8428
Bi: 0.7500 0.2500 0.5000
Bi: 0.2500 0.7500 0.5000
P: 0.4214 0.4214 0.1572
Ba: 0.0000 0.0000 0.0000

Values from the calculation:
As for the magnetization: 0.00 μB per cell. The value obtained for the energy above the most stable polymorph in this dataset is 0.0000 eV per atom. As for the calculated volume: 145.83 Å³/cell.